First-principles (PBE with a Hubbard U) data for an optimized crystal structure of KAcMoF6, as listed in Alexandria.

abc: 6.222 6.222 10.737
angles: 90.00 90.00 120.00
Last column: magnetic moment on the atom in μB.
Element x y z (fractional)
K 0.000 0.000 0.000  0.00
K 0.000 0.000 0.500  0.00
Ac 0.333 0.667 0.250  -0.02
Ac 0.667 0.333 0.750  -0.02
Mo 0.667 0.333 0.250  1.94
Mo 0.333 0.667 0.750  1.94
F 0.658 0.632 0.139  0.01
F 0.974 0.342 0.139  0.01
F 0.342 0.974 0.639  0.01
F 0.026 0.658 0.861  0.01
F 0.368 0.342 0.361  0.01
F 0.974 0.632 0.361  0.01
F 0.632 0.974 0.861  0.01
F 0.658 0.026 0.361  0.01
F 0.026 0.368 0.639  0.01
F 0.368 0.026 0.139  0.01
F 0.632 0.658 0.639  0.01
F 0.342 0.368 0.861  0.01

- total moment (μB per atom) = 0.228
- energy (eV per formula unit) = -49.72